{
  "formula": "CsV2I8",
  "functional": "PBE",
  "state": "optimized geometry",
  "lattice_angstrom": [[-6.292, 0.296, -7.920], [-5.380, -5.170, 1.437], [-8.219, 5.250, 2.699]],
  "species": ["I", "I", "I", "I", "I", "I", "I", "I", "V", "V", "Cs"],
  "fractional_positions": [[0.310, 0.258, 0.959], [0.690, 0.742, 0.041], [0.041, 0.742, 0.690], [0.959, 0.258, 0.310], [0.765, 0.384, 0.765], [0.366, 0.044, 0.366], [0.634, 0.956, 0.634], [0.235, 0.616, 0.235], [0.218, 0.294, 0.218], [0.782, 0.706, 0.782], [0.000, 0.000, 0.000]],
  "sg": "C2/m, No. 12",
  "e_tot_ev_per_fu": -38.11,
  "magmom_total_mub_per_cell": 3.00,
  "raw_formation_energy_kcal_per_mol_atoms": -13.876
}